Here is crystalline HoIn2MoO8 at its relaxed geometry from Alexandria. Energies are from PBE+U.

The calculation puts the calculated total energy at -6.56 eV per atom.

The structure belongs to space group P2/m (No. 10); the cell edges are 4.939, 6.639 and 4.941 Å and the angles 90.00°, 90.92° and 90.00°. The asymmetric unit holds Ho at (0.000, 0.000, 0.000), In at (0.500, 0.256, 0.500), Mo at (0.000, 0.500, 0.000), O at (0.186, 0.285, 0.815), O at (0.286, 0.500, 0.287) and O at (0.311, 0.000, 0.313).